(1)
VASP calculation (PBE) on a relaxed structure of Sm2MnTl3Se6.

* volume: 342.1 Å³/f.u.
* space-group type: No. 12
* raw formation energy: -1014 meV/atom
* DOS at the Fermi energy: 2.8 states/eV/cell

Cell lengths 7.1318, 7.1318, 8.0903 Å; angles 99.14, 99.14, 118.91 degrees
Closest atoms and distances in Å follow each position.
Element x y z (fractional)
Sm: 0.6642 0.3358 0.0000  6 Se 2.92-2.96
Se: 0.3645 0.0644 0.1929  1 Mn 2.59
Tl: 0.5000 0.5000 0.5000  6 Se 3.26-3.31
Se: 0.0644 0.3645 0.1929  1 Mn 2.59
Mn: 0.0000 0.0000 0.0000  4 Se 2.59
Tl: 0.1745 0.8255 0.5000  6 Se 3.22-3.45
Se: 0.6355 0.9356 0.8071  1 Mn 2.59
Sm: 0.3358 0.6642 0.0000  6 Se 2.92-2.96
Se: 0.9356 0.6355 0.8071  1 Mn 2.59
Se: 0.2486 0.2486 0.7779  1 Mn 2.92, 2 Sm 2.93, 2 Tl 3.22
Se: 0.7514 0.7514 0.2221  1 Mn 2.92, 2 Sm 2.93, 2 Tl 3.22
Tl: 0.8255 0.1745 0.5000  6 Se 3.22-3.45


(2)
VASP calculation (PBE) on a relaxed structure of BeIr2O2.

* volume: 55.9 Å³/f.u.
* polymorph energy (0 for the lowest one): 35.91 kJ per mole of atoms
* space-group type: No. 139
* raw formation energy: 127 meV/atom
* DOS at the Fermi energy: 1.3 states/eV/cell

Cell lengths 3.2470, 3.2470, 5.7745 Å; angles 73.67, 73.67, 90.00 degrees
Closest atoms and distances in Å follow each position.
Element x y z (fractional)
Ir: 0.6152 0.6152 0.7695  4 O 2.16
O: 0.7500 0.2500 0.5000  4 Ir 2.16, 4 O 2.30
O: 0.2500 0.7500 0.5000  4 Ir 2.16, 4 O 2.30
Be: 0.0000 0.0000 0.0000  8 Ir 2.60
Ir: 0.3848 0.3848 0.2305  4 O 2.16


(3)
VASP calculation (PBE) on a relaxed structure of Tc2AsPd2.

* volume: 81.4 Å³/f.u.
* E_form: 117 meV per atom
* space-group type: No. 127
* DOS at the Fermi energy: 6.6 states/eV/cell

Cell lengths 6.2769, 6.2769, 4.1299 Å; angles 90.00, 90.00, 90.00 degrees
Closest atoms and distances in Å follow each position.
Element x y z (fractional)
Pd: 0.3422 0.1578 0.5000  6 Tc 2.77, 1 Pd 2.80
Tc: 0.8654 0.6346 0.0000  1 Tc 2.39, 2 As 2.44
Pd: 0.8422 0.3422 0.5000  6 Tc 2.77, 1 Pd 2.80
As: 0.0000 0.0000 0.0000  4 Tc 2.44
Pd: 0.6578 0.8422 0.5000  6 Tc 2.77, 1 Pd 2.80
As: 0.5000 0.5000 0.0000  4 Tc 2.44
Tc: 0.3654 0.8654 0.0000  1 Tc 2.39, 2 As 2.44
Pd: 0.1578 0.6578 0.5000  6 Tc 2.77, 1 Pd 2.80
Tc: 0.1346 0.3654 0.0000  1 Tc 2.39, 2 As 2.44
Tc: 0.6346 0.1346 0.0000  1 Tc 2.39, 2 As 2.44


(4)
VASP calculation (PBE) on a relaxed structure of CsAl2N.

* volume: 95.0 Å³/f.u.
* space-group type: No. 141
* raw formation energy: 346 meV/atom
* DOS at the Fermi energy: 4.7 states/eV/cell

Cell lengths 6.4198, 6.4198, 6.4695 Å; angles 60.25, 60.25, 90.00 degrees
Closest atoms and distances in Å follow each position.
Element x y z (fractional)
N: 0.2500 0.7500 0.5000  4 Al 1.98
Cs: 0.7500 0.2500 0.5000  12 Al 3.77-3.81, 4 N 3.95, 4 Cs 3.95
Cs: 0.0000 0.0000 0.0000  12 Al 3.77-3.81, 4 Cs 3.95, 4 N 3.95
Al: 0.8750 0.6253 0.7500  2 N 1.98
Al: 0.3747 0.6250 0.2500  2 N 1.98
Al: 0.3753 0.1250 0.2500  2 N 1.98
Al: 0.3750 0.6247 0.7500  2 N 1.98
N: 0.5000 0.5000 0.0000  4 Al 1.98


(5)
VASP calculation (PBE) on a relaxed structure of CeCrP2Ru.

* volume: 80.1 Å³/f.u.
* E_form: -896 meV per atom
* space-group type: No. 119
* DOS at the Fermi energy: 6.2 states/eV/cell

Cell lengths 4.0425, 4.0425, 5.6730 Å; angles 110.87, 110.87, 90.00 degrees
Closest atoms and distances in Å follow each position.
Element x y z (fractional)
P: 0.6297 0.6297 0.2593  2 Ru 2.34, 2 Cr 2.34, 1 P 2.54
Ce: 0.0000 0.0000 0.0000  8 P 3.13, 4 Cr 3.18, 4 Ru 3.18
Cr: 0.7500 0.2500 0.5000  4 P 2.34
P: 0.3703 0.3703 0.7407  2 Cr 2.34, 2 Ru 2.34, 1 P 2.54
Ru: 0.2500 0.7500 0.5000  4 P 2.34


(6)
VASP calculation (PBE) on a relaxed structure of Zr2CdW.

* volume: 81.3 Å³/f.u.
* E_form: 270 meV per atom
* space-group type: No. 99
* DOS at the Fermi energy: 4.1 states/eV/cell

Cell lengths 3.5508, 3.5508, 6.4487 Å; angles 90.00, 90.00, 90.00 degrees
Closest atoms and distances in Å follow each position.
Element x y z (fractional)
W: 0.5000 0.5000 0.7649  5 Zr 2.86-3.11, 4 Cd 3.00
Zr: 0.5000 0.5000 0.2473  4 Cd 3.03, 4 Zr 3.06, 2 W 3.11-3.34
Cd: 0.0000 0.0000 0.5109  4 W 3.00, 5 Zr 3.00-3.03
Zr: 0.0000 0.0000 0.9769  4 W 2.86, 1 Cd 3.00, 4 Zr 3.06